Cs2CaNdCl6 | PBE | relaxed

**Calculated density**: 3.24 g/cm³
**Fermi-level density of states**: 4.567 states/eV/f.u.
**Symmetry**: Pmmn
**DFT total energy**: -4.04 eV/atom
**Formation energy from raw total energies**: -2.08 eV/atom

Unit cell a=7.826 b=11.072 c=7.830 alpha=90.00 beta=90.00 gamma=90.00
Sites, in units of the cell vectors:
Cs (0.250, 0.000, 0.250)
Cs (0.250, 0.500, 0.250)
Cs (0.750, 0.000, 0.750)
Cs (0.750, 0.500, 0.750)
Ca (0.250, 0.250, 0.749)
Ca (0.750, 0.750, 0.251)
Nd (0.250, 0.750, 0.751)
Nd (0.750, 0.250, 0.249)
Cl (0.003, 0.250, 0.995)
Cl (0.004, 0.250, 0.502)
Cl (0.250, 0.003, 0.750)
Cl (0.250, 0.497, 0.750)
Cl (0.496, 0.250, 0.502)
Cl (0.497, 0.250, 0.995)
Cl (0.503, 0.750, 0.005)
Cl (0.504, 0.750, 0.498)
Cl (0.750, 0.503, 0.250)
Cl (0.750, 0.997, 0.250)
Cl (0.996, 0.750, 0.498)
Cl (0.997, 0.750, 0.005)